No. 1
AlTlRe2: relaxed, PBE-GGA.

## Properties
The space-group type is No. 65. The energy relative to the elements comes out at 0.6410 eV per atom. For the polymorph energy (0 for the lowest one), the calculation gives 0.4345 eV per atom. The density of states at the Fermi level is 3.66 states/eV/f.u. For the total energy, the calculation gives -28.4 eV for the cell shown.

Unit cell a=2.818 b=2.818 c=9.605 alpha=90.00 beta=90.00 gamma=116.17
Fractional positions:
Al 0.000 0.000 0.000
Tl 0.000 0.000 0.500
Re 0.500 0.500 0.221
Re 0.500 0.500 0.779

***

No. 2
Al2TlRe: relaxed, PBE-GGA.

## Properties
The space-group type is No. 99. The energy relative to the elements comes out at 0.3129 eV per atom. For the polymorph energy (0 for the lowest one), the calculation gives 0.1943 eV per atom. The density of states at the Fermi level is 1.10 states/eV/f.u. For the total energy, the calculation gives -21.0 eV for the cell shown.

Unit cell a=3.496 b=3.496 c=5.706 alpha=90.00 beta=90.00 gamma=90.00
Fractional positions:
Al 0.000 0.000 0.000
Al 0.500 0.500 0.257
Tl 0.500 0.500 0.741
Re 0.000 0.000 0.437

***

No. 3
AlTl2Re: relaxed, PBE-GGA.

## Properties
The space-group type is No. 123. The energy relative to the elements comes out at 0.8444 eV per atom. For the polymorph energy (0 for the lowest one), the calculation gives 0.3950 eV per atom. The density of states at the Fermi level is 1.54 states/eV/f.u. For the total energy, the calculation gives -17.5 eV for the cell shown.

Unit cell a=3.715 b=3.715 c=5.771 alpha=90.00 beta=90.00 gamma=90.00
Fractional positions:
Al 0.000 0.000 0.000
Tl 0.500 0.500 0.253
Tl 0.500 0.500 0.747
Re 0.000 0.000 0.500

***

No. 4
Al4TlRe: relaxed, PBE-GGA.

## Properties
The space-group type is No. 216. The energy relative to the elements comes out at 0.3268 eV per atom. The density of states at the Fermi level is 2.30 states/eV/f.u. For the total energy, the calculation gives -27.8 eV for the cell shown.

Unit cell a=5.200 b=5.200 c=5.200 alpha=60.00 beta=60.00 gamma=60.00
Fractional positions:
Al 0.123 0.123 0.123
Al 0.123 0.123 0.631
Al 0.123 0.631 0.123
Al 0.631 0.123 0.123
Tl 0.500 0.500 0.500
Re 0.750 0.750 0.750

***

No. 5
AlTl4Re: relaxed, PBE-GGA.

## Properties
The space-group type is No. 216. The energy relative to the elements comes out at 1.2064 eV per atom. The density of states at the Fermi level is 4.35 states/eV/f.u. For the total energy, the calculation gives -18.4 eV for the cell shown.

Unit cell a=6.146 b=6.146 c=6.146 alpha=60.00 beta=60.00 gamma=60.00
Fractional positions:
Al 0.000 0.000 0.000
Tl 0.375 0.375 0.375
Tl 0.375 0.375 0.874
Tl 0.375 0.874 0.375
Tl 0.874 0.375 0.375
Re 0.750 0.750 0.750

***

No. 6
AlTl2Re: relaxed, PBE-GGA.

## Properties
The space-group type is No. 35. The energy relative to the elements comes out at 0.5267 eV per atom. For the polymorph energy (0 for the lowest one), the calculation gives 0.0773 eV per atom. The density of states at the Fermi level is 2.38 states/eV/f.u. For the total energy, the calculation gives -18.8 eV for the cell shown.

Unit cell a=2.969 b=2.969 c=10.664 alpha=90.00 beta=90.00 gamma=108.42
Fractional positions:
Al 0.000 0.000 0.000
Tl 0.000 0.000 0.590
Tl 0.500 0.500 0.256
Re 0.500 0.500 0.826